! ScAl2P (PBEsol, relaxed); values from VASP
&SYSTEM
  ibrav = 0, nat = 8, ntyp = 3
/
ATOMIC_SPECIES
Sc 44.96 Sc.upf
Al 26.98 Al.upf
P 30.97 P.upf
CELL_PARAMETERS angstrom
5.2803 0.0000 0.0000
0.0000 10.0268 0.0000
-2.6097 0.0000 2.7015
ATOMIC_POSITIONS crystal
Sc 0.0000 0.0000 0.0000
Sc 0.5000 0.5000 0.0000
Al 0.2500 0.2500 0.0000
Al 0.2500 0.7500 0.0000
Al 0.7500 0.2500 0.0000
Al 0.7500 0.7500 0.0000
P 0.0000 0.5000 0.0000
P 0.5000 0.0000 0.0000
! formation energy from the elements	-1.69	eV per formula unit
! final energy	-44.54	eV for the cell shown
! magnetic moment	0.0	Bohr magnetons per cell
! calculated density	3.02	g/cm³